Here is a relaxed MgMnN2F crystal from Alexandria via LeMat-Bulk. Energies are from GGA-PBEsol.

The space group is P4/mmm (No. 123) and the conventional cell measures 4.0388, 4.0388 and 3.6065 Å, with angles of 90.00, 90.00 and 90.00 degrees. The inequivalent atoms are Mg at (0.0000, 0.0000, 0.0000), Mn at (0.5000, 0.5000, 0.5000), N at (0.0000, 0.5000, 0.0000) and F at (0.0000, 0.0000, 0.5000).

The uncorrected formation energy comes out at 29 kJ per mole of atoms. The calculation puts the calculated total energy at -5.7953 eV/atom.